DFT (PBE with a Hubbard U) results for crystalline CsNiAu2F8 at its relaxed geometry.

Properties
VASP energy = -3.442 eV per atom
Spin magnetization = 2.8 μB/f.u.

a b c (Å): 5.601 5.601 7.627
angles (deg): 90.00 90.00 120.00
Positions (direct):
1 Cs 0.000 0.000 0.000
2 Ni 0.000 0.000 0.500
3 Au 0.333 0.667 0.624
4 Au 0.667 0.333 0.376
5 F 0.075 0.738 0.362
6 F 0.262 0.337 0.362
7 F 0.333 0.667 0.884
8 F 0.337 0.075 0.638
9 F 0.663 0.925 0.362
10 F 0.667 0.333 0.116
11 F 0.738 0.663 0.638
12 F 0.925 0.262 0.638